(1)
{
  "formula": "LiZnIr2",
  "functional": "meta-GGA SCAN",
  "state": "single point on PBEsol structure",
  "cell": [[-2.256, -1.086, -1.092], [0.399, -3.491, 2.649], [-2.466, 2.043, 3.063]],
  "species": ["Ir", "Ir", "Li", "Zn"],
  "frac_coords": [[0.500, 0.000, 0.936], [0.000, 0.500, 0.813], [0.000, 0.000, 0.436], [0.500, 0.500, 0.315]],
  "final_energy_ev_per_cell": -159.2,
  "delta_e_f_ev_per_atom": -0.275,
  "n_ef_per_ev_atom": 0.438,
  "sg": "Pmm2"
}


(2)
{
  "formula": "HfTaBeAs2",
  "functional": "meta-GGA SCAN",
  "state": "single point on PBEsol structure",
  "cell": [[4.362, 0.000, 0.000], [0.000, 4.362, 0.000], [0.000, 0.000, 4.450]],
  "species": ["Hf", "As", "As", "Ta", "Be"],
  "frac_coords": [[0.000, 0.000, 0.500], [0.500, 0.000, 0.000], [0.000, 0.500, 0.000], [0.500, 0.500, 0.500], [0.000, 0.000, 0.000]],
  "final_energy_ev_per_cell": -170.7,
  "delta_e_f_ev_per_atom": 0.649,
  "n_ef_per_ev_atom": 0.710,
  "sg": "P4/mmm"
}


(3)
{
  "formula": "ZnPt2Rh",
  "functional": "meta-GGA SCAN",
  "state": "single point on PBEsol structure",
  "cell": [[2.732, 0.000, 0.000], [0.000, 4.683, -0.003], [-1.366, -0.853, 4.417]],
  "species": ["Pt", "Pt", "Rh", "Zn"],
  "frac_coords": [[0.005, 0.008, 0.010], [0.248, 0.740, 0.496], [0.495, 0.505, 0.991], [0.752, 0.247, 0.504]],
  "final_energy_ev_per_cell": -188.8,
  "delta_e_f_ev_per_atom": -0.287,
  "n_ef_per_ev_atom": 0.790,
  "sg": "Cm"
}